Entry 1:
! SmCdAg6 PBE relaxed; values from VASP
! Calculated total energy ... -2.89 eV/atom
! Fermi-level density of states ... 2.315 states/eV/f.u.
! Formation energy from the elements ... -45.6 meV/atom
&SYSTEM
  ibrav = 0, nat = 8, ntyp = 3
/
ATOMIC_SPECIES
Sm 150.36 Sm.upf
Cd 112.41 Cd.upf
Ag 107.87 Ag.upf
CELL_PARAMETERS angstrom
5.455 0.000 0.000
0.000 5.455 0.000
0.000 0.000 5.455
ATOMIC_POSITIONS crystal
Sm 0.000 0.000 0.000
Cd 0.500 0.500 0.500
Ag 0.500 0.747 0.000
Ag 0.747 0.000 0.500
Ag 0.000 0.500 0.253
Ag 0.253 0.000 0.500
Ag 0.500 0.253 0.000
Ag 0.000 0.500 0.747

Entry 2:
! Sm7Cd2Ag2 PBE relaxed; values from VASP
! Calculated total energy ... -3.65 eV/atom
! Fermi-level density of states ... 14.473 states/eV/f.u.
! Formation energy from the elements ... 39.8 meV/atom
&SYSTEM
  ibrav = 0, nat = 11, ntyp = 3
/
ATOMIC_SPECIES
Sm 150.36 Sm.upf
Cd 112.41 Cd.upf
Ag 107.87 Ag.upf
CELL_PARAMETERS angstrom
6.813 -0.003 -0.962
0.003 7.746 0.003
-1.384 -0.002 6.740
ATOMIC_POSITIONS crystal
Sm 0.000 0.278 0.500
Sm 0.500 0.722 0.000
Sm 0.000 0.722 0.500
Sm 0.500 0.278 0.000
Sm 0.000 0.000 0.000
Sm 0.500 0.742 0.500
Sm 0.500 0.258 0.500
Cd 0.827 0.500 0.827
Cd 0.173 0.500 0.173
Ag 0.710 0.000 0.290
Ag 0.290 0.000 0.710

Entry 3:
! Sm2Cd8Ag PBE relaxed; values from VASP
! Calculated total energy ... -1.96 eV/atom
! Fermi-level density of states ... 5.072 states/eV/f.u.
! Formation energy from the elements ... -181.4 meV/atom
&SYSTEM
  ibrav = 0, nat = 11, ntyp = 3
/
ATOMIC_SPECIES
Ag 107.87 Ag.upf
Sm 150.36 Sm.upf
Cd 112.41 Cd.upf
CELL_PARAMETERS angstrom
4.501 0.000 -1.367
-0.912 5.759 -3.004
0.550 0.279 9.906
ATOMIC_POSITIONS crystal
Ag 0.500 0.000 0.000
Sm 0.219 0.747 0.438
Sm 0.781 0.253 0.562
Cd 0.601 0.787 0.203
Cd 0.360 0.597 0.721
Cd 0.149 0.131 0.297
Cd 0.022 0.314 0.045
Cd 0.851 0.869 0.703
Cd 0.640 0.403 0.279
Cd 0.399 0.213 0.797
Cd 0.978 0.686 0.955

Entry 4:
! SrSmCdAg PBE relaxed; values from VASP
! Calculated total energy ... -2.78 eV/atom
! Fermi-level density of states ... 3.109 states/eV/f.u.
! Formation energy from the elements ... -241.5 meV/atom
! Relative energy among the computed polymorphs ... 52 meV per atom
&SYSTEM
  ibrav = 0, nat = 4, ntyp = 4
/
ATOMIC_SPECIES
Sr 87.62 Sr.upf
Ag 107.87 Ag.upf
Sm 150.36 Sm.upf
Cd 112.41 Cd.upf
CELL_PARAMETERS angstrom
5.459 0.000 0.000
2.729 4.728 0.000
2.729 1.576 4.457
ATOMIC_POSITIONS crystal
Sr 0.000 0.000 0.000
Ag 0.250 0.250 0.250
Sm 0.500 0.500 0.500
Cd 0.750 0.750 0.750